Material: Co2MoW
Method: DFT, PBE
State: relaxed

Lattice parameters (Å, degrees): 8.7290 8.7290 8.7290 17.73 17.73 17.73
With the nearest neighbours (Å) after each atom.
Positions (direct):
Co: 0.2502 0.2502 0.2502  3 W 2.65, 3 Mo 2.65, 6 Co 2.69
Co: 0.7498 0.7498 0.7498  3 W 2.65, 3 Mo 2.65, 6 Co 2.69
Mo: 0.5000 0.5000 0.5000  6 Co 2.65, 6 Mo 2.69
W: 0.0000 0.0000 0.0000  6 Co 2.65, 6 W 2.69

The symmetry is R-3m, No. 166. The polymorph energy (0 for the lowest one) is 251 meV per atom. As for the formation energy from the elements: 6.5 kcal/mol of atoms.